Sc2FeMoW (PBE, relaxed); ΔE_f = 1.56 eV/atom; VASP energy = -37.12 eV per formula unit; Fermi-level density of states = 9.96 states/eV/cell; SG = P4/mmm, No. 123
1.0
5.038 0.000 0.000
0.000 5.038 0.000
0.000 0.000 4.622
Sc Fe Mo W
2 1 1 1
Direct
0.000 0.500 0.000
0.500 0.000 0.000
0.000 0.000 0.500
0.500 0.500 0.500
0.500 0.500 0.000